Computed, not measured: a relaxed structure of Sr2BiCl2O2 at the PBE level of DFT.

Cell: 7.317 7.317 7.363 Å, 116.39 116.39 30.72°
Element x y z (fractional)
Sr (0.232, 0.232, 0.273)
Sr (0.768, 0.768, 0.727)
Bi (0.000, 0.000, 0.500)
Cl (0.387, 0.387, 0.077)
Cl (0.613, 0.613, 0.923)
O (0.169, 0.169, 0.534)
O (0.831, 0.831, 0.466)

Results
- calculated volume (Å³ per atom) = 25.5
- space-group type = C2/m, No. 12
- density (g cm⁻³) = 4.5
- crystal system = monoclinic
- formation energy without anion corrections (eV per atom) = -1.984